{
  "formula": "KSi3O",
  "functional": "GGA-PBE",
  "state": "relaxed",
  "spacegroup": "No. 221",
  "polymorph_energy_kcal_per_mol_atoms": 50.613,
  "dft_energy_ev_per_cell": -9.19,
  "crystal_system": "cubic",
  "e_form_raw_mev_per_atom": 2627,
  "lattice_angstrom": [[5.5607, 0.0000, 0.0000], [0.0000, 5.5607, 0.0000], [0.0000, 0.0000, 5.5607]],
  "species": ["K", "Si", "Si", "Si", "O"],
  "fractional_positions": [[0.0000, 0.0000, 0.0000], [0.0000, 0.0000, 0.5000], [0.0000, 0.5000, 0.0000], [0.5000, 0.0000, 0.0000], [0.5000, 0.5000, 0.5000]]
}